(1)
The following is a DFT calculation (PBE) of a relaxed RbTa3Hg crystal.

a b c (Å): 4.815 4.815 4.815
angles (deg): 90.00 90.00 90.00
Fractional coordinates of all 5 atoms:
Ta  0.500  0.000  0.000
Ta  0.000  0.500  0.000
Ta  0.000  0.000  0.500
Hg  0.500  0.500  0.500
Rb  0.000  0.000  0.000

Properties
Its space group is Pm-3m, No. 221. The energy of formation is 3.092 eV/atom. Its total moment is 0.0 Bohr magnetons per cell. Its offset from the most stable computed form is 679 meV/atom. Its density of states at the Fermi level is 2.45 states/eV per cell.

(2)
The following is a DFT calculation (PBE) of a relaxed LaPm4Te6 crystal.

a b c (Å): 4.415 7.631 22.754
angles (deg): 90.00 90.00 106.81
Fractional coordinates of all 22 atoms:
Te  0.318  0.636  0.250
Te  0.053  0.106  0.334
Te  0.767  0.534  0.406
Te  0.500  0.000  0.000
Te  0.767  0.534  0.094
Te  0.500  0.000  0.500
Te  0.233  0.466  0.594
Te  0.947  0.894  0.666
Te  0.682  0.364  0.750
Te  0.233  0.466  0.906
Te  0.053  0.106  0.166
Te  0.947  0.894  0.834
Pm  0.588  0.176  0.875
Pm  0.857  0.713  0.536
Pm  0.143  0.287  0.036
Pm  0.412  0.824  0.375
Pm  0.412  0.824  0.125
Pm  0.143  0.287  0.464
Pm  0.588  0.176  0.625
Pm  0.857  0.713  0.964
La  0.657  0.314  0.250
La  0.343  0.686  0.750

Properties
Its space group is Cmcm, No. 63. For the formation energy from raw total energies, the calculation gives -1.476 eV/atom. Its total moment is 0.0 Bohr magnetons per cell. Its density of states at the Fermi level is 7.37 states/eV per cell.

(3)
The following is a DFT calculation (PBE) of a relaxed Cd3As2 crystal.

a b c (Å): 6.457 6.457 6.457
angles (deg): 90.00 90.00 90.00
Fractional coordinates of all 10 atoms:
As  0.250  0.750  0.750
As  0.750  0.250  0.750
As  0.750  0.750  0.250
As  0.250  0.250  0.250
Cd  0.000  0.000  0.500
Cd  0.000  0.500  0.000
Cd  0.500  0.000  0.500
Cd  0.000  0.500  0.500
Cd  0.500  0.500  0.000
Cd  0.500  0.000  0.000

Properties
Its space group is Pn-3m, No. 224. The energy of formation is 0.061 eV/atom. Its total moment is 0.0 Bohr magnetons per cell. Its density of states at the Fermi level is 2.39 states/eV per cell.

(4)
The following is a DFT calculation (PBE) of a relaxed Li2HIr crystal.

a b c (Å): 2.669 2.669 7.310
angles (deg): 79.48 79.48 60.00
Fractional coordinates of all 4 atoms:
H  0.500  0.500  0.500
Li  0.113  0.113  0.662
Li  0.887  0.887  0.338
Ir  0.000  0.000  0.000

Properties
Its space group is R-3m, No. 166. Its total moment is 0.0 Bohr magnetons per cell. Its offset from the most stable computed form is 0 meV/atom. Its density of states at the Fermi level is 1.21 states/eV per cell.